[1]
# Dy5As2Se2 PBE-GGA optimized geometry
data_Dy5As2Se2
_symmetry_space_group_name_H-M 'C m c e'
_symmetry_Int_Tables_number 64
_symmetry_space_group_name_Hall '-C 2ac 2'
_cell_length_a 14.515
_cell_length_b 7.622
_cell_length_c 7.673
_cell_angle_alpha 90.00
_cell_angle_beta 90.00
_cell_angle_gamma 90.00
loop_
_atom_site_label
_atom_site_type_symbol
_atom_site_fract_x
_atom_site_fract_y
_atom_site_fract_z
Dy1 Dy 0.000 0.000 0.000
Dy2 Dy 0.135 0.158 0.344
As1 As 0.000 0.146 0.645
Se1 Se 0.197 0.000 0.000
# E_form (uncorrected): -1344 meV/atom
# total magnetization: 0.00 μB per cell
# crystal system: orthorhombic
# volume: 212.2 Å³/f.u.


[2]
# NdPuGaOs PBE-GGA optimized geometry
data_NdPuGaOs
_symmetry_space_group_name_H-M 'F -4 3 m'
_symmetry_Int_Tables_number 216
_symmetry_space_group_name_Hall 'F -4 2 3'
_cell_length_a 7.075
_cell_length_b 7.075
_cell_length_c 7.075
_cell_angle_alpha 90.00
_cell_angle_beta 90.00
_cell_angle_gamma 90.00
loop_
_atom_site_label
_atom_site_type_symbol
_atom_site_fract_x
_atom_site_fract_y
_atom_site_fract_z
Nd1 Nd 0.000 0.000 0.000
Pu1 Pu 0.000 0.000 0.500
Ga1 Ga 0.250 0.250 0.250
Os1 Os 0.250 0.250 0.750
# total magnetization: 19.73 μB per cell
# crystal system: cubic
# volume: 88.5 Å³/f.u.
# energy relative to the elements: -8 kJ/mol of atoms


[3]
# SnHOs2 PBE-GGA optimized geometry
data_SnHOs2
_symmetry_space_group_name_H-M 'P 1'
_symmetry_Int_Tables_number 1
_cell_length_a 4.644
_cell_length_b 5.486
_cell_length_c 5.523
_cell_angle_alpha 60.27
_cell_angle_beta 79.62
_cell_angle_gamma 78.86
loop_
_symmetry_equiv_pos_as_xyz
'x,y,z'
loop_
_atom_site_label
_atom_site_type_symbol
_atom_site_fract_x
_atom_site_fract_y
_atom_site_fract_z
Sn1 Sn 0.000 0.000 0.000
Sn2 Sn 0.297 0.299 0.340
H1 H 0.679 0.594 0.163
H2 H 0.780 0.084 0.511
Os1 Os 0.452 0.372 0.822
Os2 Os 0.484 0.792 0.306
Os3 Os 0.585 0.863 0.778
Os4 Os 0.974 0.569 0.624
# total magnetization: 0.00 μB per cell
# offset from the most stable computed form: 120 meV/atom
# crystal system: triclinic
# volume: 59.6 Å³/f.u.


[4]
# UCuSnAu PBE-GGA optimized geometry
data_UCuSnAu
_symmetry_space_group_name_H-M 'F -4 3 m'
_symmetry_Int_Tables_number 216
_symmetry_space_group_name_Hall 'F -4 2 3'
_cell_length_a 6.906
_cell_length_b 6.906
_cell_length_c 6.906
_cell_angle_alpha 90.00
_cell_angle_beta 90.00
_cell_angle_gamma 90.00
loop_
_atom_site_label
_atom_site_type_symbol
_atom_site_fract_x
_atom_site_fract_y
_atom_site_fract_z
U1 U 0.000 0.000 0.000
Cu1 Cu 0.250 0.250 0.250
Sn1 Sn 0.000 0.000 0.500
Au1 Au 0.250 0.250 0.750
# total magnetization: 9.80 μB per cell
# crystal system: cubic
# volume: 82.4 Å³/f.u.
# energy relative to the elements: -6 kJ/mol of atoms


[5]
# Ac5AgS8 PBE-GGA optimized geometry
data_Ac5AgS8
_symmetry_space_group_name_H-M 'I -4'
_symmetry_Int_Tables_number 82
_cell_length_a 8.964
_cell_length_b 8.964
_cell_length_c 9.080
_cell_angle_alpha 90.00
_cell_angle_beta 90.00
_cell_angle_gamma 90.00
loop_
_symmetry_equiv_pos_as_xyz
'x,y,z'
'y,-x,-z'
'-x,-y,z'
'-y,x,-z'
'x+1/2,y+1/2,z+1/2'
'y+1/2,-x+1/2,-z+1/2'
'-x+1/2,-y+1/2,z+1/2'
'-y+1/2,x+1/2,-z+1/2'
loop_
_atom_site_label
_atom_site_type_symbol
_atom_site_fract_x
_atom_site_fract_y
_atom_site_fract_z
Ac1 Ac 0.000 0.000 0.000
Ac2 Ac 0.133 0.250 0.617
Ag1 Ag 0.000 0.500 0.250
S1 S 0.068 0.181 0.294
S2 S 0.079 0.319 0.934
# E_form (uncorrected): -1925 meV/atom
# total magnetization: 0.00 μB per cell
# crystal system: tetragonal
# volume: 364.8 Å³/f.u.


[6]
# Ca2NiAs2 PBE-GGA optimized geometry
data_Ca2NiAs2
_symmetry_space_group_name_H-M 'C 1 2/m 1'
_symmetry_Int_Tables_number 12
_cell_length_a 10.975
_cell_length_b 4.023
_cell_length_c 10.670
_cell_angle_alpha 90.00
_cell_angle_beta 110.89
_cell_angle_gamma 90.00
loop_
_symmetry_equiv_pos_as_xyz
'x,y,z'
'-x,-y,-z'
'-x,y,-z'
'x,-y,z'
'x+1/2,y+1/2,z'
'-x+1/2,-y+1/2,-z'
'-x+1/2,y+1/2,-z'
'x+1/2,-y+1/2,z'
loop_
_atom_site_label
_atom_site_type_symbol
_atom_site_fract_x
_atom_site_fract_y
_atom_site_fract_z
Ca1 Ca 0.087 0.000 0.400
Ca2 Ca 0.193 0.500 0.141
Ni1 Ni 0.076 0.500 0.817
As1 As 0.045 0.000 0.905
As2 As 0.155 0.500 0.643
# total magnetization: 0.00 μB per cell
# crystal system: monoclinic
# volume: 110.0 Å³/f.u.
# energy relative to the elements: -86 kJ/mol of atoms